# CoHg2Se

A geometry-optimized CoHg2Se structure (PBE, Alexandria).

## Properties
Total moment: 0.31 μB/f.u.
Energy relative to the elements, uncorrected: 0.009 eV/atom
Electronic total energy: -2.79 eV/atom
Density: 10.5 Mg/m³
Symmetry: R3m (160)

Cell: 8.808 8.808 8.808 Å, 22.17 22.17 22.17°
Sites, in units of the cell vectors:
Hg: 0.017 0.017 0.017
Hg: 0.250 0.250 0.250
Co: 0.760 0.760 0.760
Se: 0.473 0.473 0.473